Entry from the Alexandria database: a geometry-optimized Mg2CrTe structure (GGA-PBE).

Unit cell a=4.238 b=4.238 c=9.508 alpha=90.00 beta=90.00 gamma=90.00
Space group I-4m2 (No. 119)
Unique sites:
Mg 0.000 0.000 0.000 x2
Mg 0.000 0.500 0.250 x2
Cr 0.000 0.000 0.500 x2
Te 0.000 0.500 0.750 x2

Computed properties:
* M_tot: 3.64 μB/f.u.
* uncorrected formation energy: 0.096 eV/atom